# PBE CoSb2W, relaxed
# E_form (uncorrected) = 0.9912 eV per atom
# Polymorph energy (0 for the lowest one) = 0.747 eV per atom
# Size of the total moment = 0.207 μB/atom
data_CoSb2W
_chemical_formula_sum 'Co4 Sb8 W4'
_space_group_name_H-M_alt 'I -4 2 d'
_space_group_IT_number 122
_space_group_name_Hall 'I -4 2bw'
_cell_length_a 6.0785
_cell_length_b 6.0785
_cell_length_c 11.0813
_cell_angle_alpha 90.00
_cell_angle_beta 90.00
_cell_angle_gamma 90.00
loop_
_atom_site_label
_atom_site_fract_x
_atom_site_fract_y
_atom_site_fract_z
Co1 0.0000 0.0000 0.0000
Sb1 0.2223 0.2500 0.1250
W1 0.0000 0.0000 0.5000